First-principles (PBE with a Hubbard U) data for crystalline HWIO2 at its relaxed geometry, as listed in the Alexandria database.

## Properties
offset from the most stable computed form: 1476.3 meV per atom
E_tot: -3.50 eV per atom
space-group type: P4/mmm
N(E_F): 0.630 states/eV per atom
spin magnetization: 1.88 μB per cell

Cell: 4.275 4.275 3.503 Å, 90.00 90.00 90.00°
Atoms (fractional coordinates):
H 0.000 0.000 0.000
W 0.500 0.500 0.500
I 0.000 0.000 0.500
O 0.000 0.500 0.000
O 0.500 0.000 0.000